1.
The following is a PBE-GGA calculation of LiZn2Sb after structural relaxation, from the Alexandria database.

Unit cell a=5.1839 b=5.1839 c=5.1839 alpha=132.52 beta=132.55 gamma=69.38
Fractional coordinates of all 4 atoms:
Li: 0.5002 0.5002 0.0000
Sb: 0.7499 0.2499 0.5000
Zn: 0.9997 0.9997 0.0000
Zn: 0.2502 0.7502 0.5000

Calculated values
As for the symmetry: I-4m2, No. 119. For the density, the calculation gives 5808 kg/m3. The value obtained for the density of states at the Fermi level is 0.303 states/eV/atom. The calculation puts the total DFT energy (no corrections) at -2.251 eV per atom. The calculation puts the total magnetization at 0.000 μB/atom. The formation energy (no corrections) is -0.422 eV per formula unit.

2.
The following is a PBE-GGA calculation of CaOsRu after structural relaxation, from the Alexandria database.

Unit cell a=10.5563 b=5.1775 c=4.4312 alpha=90.00 beta=90.00 gamma=90.00
Fractional coordinates of all 12 atoms:
Ru: 0.0000 0.0000 0.0000
Ru: 0.5000 0.5000 0.5000
Ru: 0.5000 0.0000 0.5000
Ru: 0.0000 0.5000 0.0000
Ca: 0.7305 0.2500 0.9999
Ca: 0.7695 0.7500 0.4999
Ca: 0.2695 0.7500 0.0001
Ca: 0.2305 0.2500 0.5001
Os: 0.4640 0.2500 0.0000
Os: 0.0360 0.7500 0.5000
Os: 0.5360 0.7500 0.0000
Os: 0.9640 0.2500 0.5000

Calculated values
As for the symmetry: Cmcm, No. 63. For the offset from the most stable computed form, the calculation gives 105.9 meV/atom. For the density, the calculation gives 9088 kg/m3. The value obtained for the density of states at the Fermi level is 0.926 states/eV/atom. The value obtained for the formation energy is 196 meV per atom. The calculation puts the total DFT energy (no corrections) at -7.306 eV per atom. The calculation puts the total magnetization at 0.000 μB/atom.

3.
The following is a PBE-GGA calculation of PmSmDyMg after structural relaxation, from the Alexandria database.

Unit cell a=5.5763 b=5.5763 c=5.5763 alpha=60.00 beta=60.00 gamma=60.00
Fractional coordinates of all 4 atoms:
Mg: 0.0000 0.0000 0.0000
Pm: 0.5000 0.5000 0.5000
Sm: 0.7500 0.7500 0.7500
Dy: 0.2500 0.2500 0.2500

Calculated values
As for the symmetry: F-43m, No. 216. For the offset from the most stable computed form, the calculation gives 102.3 meV/atom. For the density, the calculation gives 6530 kg/m3. The value obtained for the density of states at the Fermi level is 1.378 states/eV/atom. The value obtained for the formation energy is 70 meV per atom. The calculation puts the total DFT energy (no corrections) at -3.846 eV per atom. The calculation puts the total magnetization at 0.000 μB/atom.